Entry 1:
Compound: Li3CaIn
Source: Alexandria
Functional: PBE
Structure: optimized geometry

V, Å³/cell: 246
Energy relative to the lowest polymorph listed for this composition, kcal/mol of atoms: 0.840
N(E_F), states/eV/f.u.: 2.39
ΔE_f, eV/atom: -0.15

Cell: 14.8444 3.5103 5.0235 Å, 90.00 109.70 90.00°
Last column: nearest neighbours and their distance in Å.
Space group Cm (No. 8)
Symmetry-distinct sites (fractional):
Li 0.0000 0.0000 0.0000 x2  2 In 2.97, 6 Li 3.06-3.15
Li 0.0527 0.5000 0.5529 x2  2 In 2.91, 6 Li 3.07-3.15
Li 0.1797 0.5000 0.1803 x2  1 In 2.89, 4 Li 3.06-3.08
Ca 0.2910 0.0000 0.7916 x2  4 In 3.34, 6 Li 3.41-3.44, 2 Ca 3.51
In 0.3866 0.5000 0.3870 x2  5 Li 2.89-2.97

Entry 2:
Compound: Li7CaIn12
Source: Alexandria
Functional: PBE
Structure: optimized geometry

V, Å³/cell: 1040
N(E_F), states/eV/f.u.: 9.85
ΔE_f, eV/atom: 0.00

Cell: 10.1319 10.1319 10.1319 Å, 90.00 90.00 90.00°
Last column: nearest neighbours and their distance in Å.
Space group Im-3 (No. 204)
Symmetry-distinct sites (fractional):
Li 0.0000 0.0000 0.5000 x6  8 In 2.95-3.16
Li 0.2500 0.2500 0.2500 x8  6 In 2.67
Ca 0.0000 0.0000 0.0000 x2  12 In 4.13, 8 Li 4.39
In 0.0000 0.2375 0.3308 x24  3 Li 2.67-2.95

Entry 3:
Compound: LiCa5In3
Source: Alexandria
Functional: PBE
Structure: optimized geometry

V, Å³/cell: 551
N(E_F), states/eV/f.u.: 7.37
ΔE_f, eV/atom: -0.32

Cell: 9.6385 9.6385 6.8479 Å, 90.00 90.00 120.00°
Last column: nearest neighbours and their distance in Å.
Space group P6_3/mcm (No. 193)
Symmetry-distinct sites (fractional):
Li 0.0000 0.0000 0.0000 x2  6 Ca 3.38, 2 Li 3.42
Ca 0.0000 0.3021 0.2500 x6  5 In 3.23-3.47, 2 Li 3.38
Ca 0.3333 0.6667 0.0000 x4  8 Ca 3.42-3.78, 6 In 3.52
In 0.0000 0.3628 0.7500 x6  9 Ca 3.23-3.52

Entry 4:
Compound: Li5Ca2In
Source: Alexandria
Functional: PBE
Structure: optimized geometry

V, Å³/cell: 216
N(E_F), states/eV/f.u.: 2.82
ΔE_f, eV/atom: 0.04

Cell: 6.4592 6.4592 5.1781 Å, 90.00 90.00 90.00°
Last column: nearest neighbours and their distance in Å.
Space group P4/mmm (No. 123)
Symmetry-distinct sites (fractional):
Li 0.0000 0.0000 0.0000 x1  2 In 2.59
Li 0.2892 0.2892 0.5000 x4  1 In 2.64, 2 Li 2.72
Ca 0.0000 0.5000 0.0000 x2  10 Li 3.23-3.47
In 0.0000 0.0000 0.5000 x1  6 Li 2.59-2.64